Entry 1:
Compound: Tb2SmEr2
Source: Alexandria via LeMat-Bulk
Functional: PBE
Structure: optimized geometry

Output
Its total energy is -45.1 eV/cell. As for the formation energy: 0.576 eV/f.u. As for the density of states at the Fermi level: 18.3 states/eV/cell. The symmetry is C2/m (12). The energy above the most stable polymorph in this dataset is 31 meV per atom.

Cell: 5.7425 6.7784 9.9658 Å, 98.46 73.26 64.94°
Closest atoms and distances in Å follow each position.
Atoms (fractional coordinates):
Er1 0.0636 0.7944 0.0783  2 Er 3.31-3.33, 4 Tb 3.35-3.66, 3 Sm 3.57-3.61
Er2 0.9364 0.2056 0.9217  2 Er 3.31-3.33, 4 Tb 3.35-3.66, 3 Sm 3.57-3.61
Er3 0.3166 0.7373 0.6295  2 Er 3.18-3.33, 4 Tb 3.34-3.38, 2 Sm 3.54
Er4 0.6834 0.2627 0.3705  2 Er 3.18-3.33, 4 Tb 3.34-3.38, 2 Sm 3.54
Tb1 0.1128 0.2309 0.5434  4 Er 3.35-3.66, 4 Tb 3.54-3.68, 1 Sm 3.59
Tb2 0.4647 0.3012 0.7693  5 Er 3.34-3.74, 3 Tb 3.54-3.68, 1 Sm 3.70
Tb3 0.5353 0.6988 0.2307  5 Er 3.34-3.74, 3 Tb 3.54-3.68, 1 Sm 3.70
Tb4 0.8872 0.7691 0.4566  4 Er 3.35-3.66, 4 Tb 3.54-3.68, 1 Sm 3.59
Sm1 0.2990 0.2508 0.1512  1 Sm 3.51, 7 Er 3.54-3.92, 6 Tb 3.59-3.88
Sm2 0.7010 0.7492 0.8488  1 Sm 3.51, 7 Er 3.54-3.92, 6 Tb 3.59-3.88



Entry 2:
Compound: TbSm3Er
Source: Alexandria via LeMat-Bulk
Functional: PBE
Structure: optimized geometry

Output
Its total energy is -43.7 eV/cell. As for the formation energy: 1.491 eV/f.u. As for the density of states at the Fermi level: 17.6 states/eV/cell. The symmetry is P2_1/m (11). The energy above the most stable polymorph in this dataset is 280 meV per atom.

Cell: 3.6224 8.5712 11.7389 Å, 90.00 90.00 102.23°
Closest atoms and distances in Å follow each position.
Atoms (fractional coordinates):
Sm1 0.3120 0.1245 0.7500  2 Er 3.26, 2 Tb 3.42, 6 Sm 3.53-3.62
Sm2 0.8509 0.2008 0.4979  2 Er 3.43, 6 Sm 3.53-3.82, 1 Tb 3.73
Sm3 0.8509 0.2008 0.0021  2 Er 3.43, 6 Sm 3.53-3.82, 1 Tb 3.73
Sm4 0.1491 0.7992 0.9979  2 Er 3.43, 6 Sm 3.53-3.82, 1 Tb 3.73
Sm5 0.6880 0.8755 0.2500  2 Er 3.26, 2 Tb 3.42, 6 Sm 3.53-3.62
Sm6 0.1491 0.7992 0.5021  2 Er 3.43, 6 Sm 3.53-3.82, 1 Tb 3.73
Er1 0.3500 0.1991 0.2500  6 Sm 3.26-3.43, 2 Tb 3.30, 2 Er 3.62
Er2 0.6500 0.8009 0.7500  6 Sm 3.26-3.43, 2 Tb 3.30, 2 Er 3.62
Tb1 0.9849 0.4712 0.7500  2 Er 3.30, 2 Sm 3.42, 2 Tb 3.62
Tb2 0.0151 0.5288 0.2500  2 Er 3.30, 2 Sm 3.42, 2 Tb 3.62



What is the energy above the most stable polymorph in this dataset in the first record?
31 meV per atom



Which of these has the lowest formation energy?
Tb2SmEr2